# Mn2SbPt (GGA-PBEsol, optimized geometry)
data_Mn2SbPt
_space_group_name_H-M_alt 'P m m m'
_space_group_IT_number 47
_space_group_name_Hall '-P 2 2'
_cell_length_a 3.0079
_cell_length_b 3.8040
_cell_length_c 5.4988
_cell_angle_alpha 90.00
_cell_angle_beta 90.00
_cell_angle_gamma 90.00
loop_
_atom_site_label
_atom_site_fract_x
_atom_site_fract_y
_atom_site_fract_z
Mn1 0.0000 0.0000 0.2387
Sb1 0.5000 0.5000 0.5000
Pt1 0.5000 0.5000 0.0000
# - Electronic total energy: -7.685 eV per atom
# - Energy relative to the elements, uncorrected: 29 kJ/mol of formula units
# - Magnetic moment: 7.06 Bohr magnetons per cell